(1)
A relaxed PmHoNb2O8 crystal. Source: Alexandria via LeMat-Bulk, functional GGA-PBE.

Results
* SG: I-4, No. 82

Geometry as POSCAR:
```
PmHoNb2O8
1.0
-0.3193 4.0104 3.4409
-5.2686 -0.5067 0.1017
3.2261 -5.3874 2.5061
O Nb Pm Ho
8 2 1 1
direct
0.0882 0.0081 0.6809
0.1621 0.5906 0.8263
0.3273 0.9118 0.3191
0.7643 0.8379 0.1737
0.4094 0.3358 0.1737
0.9919 0.4073 0.3191
0.5927 0.6727 0.6809
0.6642 0.2357 0.8263
0.5000 0.5000 0.0000
0.2500 0.7500 0.5000
0.7500 0.2500 0.5000
0.0000 0.0000 0.0000
```

---

(2)
A relaxed Rb3HoNb2O8 crystal. Source: Alexandria via LeMat-Bulk, functional GGA-PBE.

Results
* SG: P-3m1, No. 164

Geometry as POSCAR:
```
Rb3HoNb2O8
1.0
-2.7764 -2.5101 -5.0268
1.5108 -3.6263 4.8832
-7.2157 1.4114 3.2806
O Rb Nb Ho
8 3 2 1
direct
0.3333 0.6667 0.0253
0.1690 0.8310 0.3332
0.6667 0.3333 0.9747
0.6620 0.8310 0.3332
0.8310 0.1690 0.6668
0.3380 0.1690 0.6668
0.8310 0.6620 0.6668
0.1690 0.3380 0.3332
0.3333 0.6667 0.6914
0.6667 0.3333 0.3086
0.0000 0.0000 0.0000
0.6667 0.3333 0.7485
0.3333 0.6667 0.2515
0.0000 0.0000 0.5000
```

---

(3)
A relaxed Ho2ScNbO7 crystal. Source: Alexandria via LeMat-Bulk, functional GGA-PBE.

Results
* SG: Imma, No. 74

Geometry as POSCAR:
```
Ho2ScNbO7
1.0
7.3565 -0.0137 0.0074
0.0006 7.3565 -0.0074
-3.5959 -3.7542 5.2052
O Ho Sc Nb
14 4 2 2
direct
0.1011 0.3511 0.7500
0.3792 0.6292 0.7500
0.9027 0.0792 0.2337
0.6545 0.3310 0.7337
0.9027 0.6690 0.8235
0.3455 0.6690 0.2663
0.0973 0.9208 0.7663
0.3455 0.0792 0.6765
0.6772 0.9272 0.7500
0.3228 0.0728 0.2500
0.8989 0.6489 0.2500
0.6208 0.3708 0.2500
0.6545 0.9208 0.3235
0.0973 0.3310 0.1765
0.5000 0.0000 0.0000
0.0000 0.5000 0.5000
0.5000 0.5000 0.0000
0.5000 0.5000 0.5000
0.0000 0.5000 0.0000
0.0000 0.0000 0.5000
0.5000 0.0000 0.5000
0.0000 0.0000 0.0000
```

---

no.,calculated volume (Å³ per cell),E_form (uncorrected) (eV/atom),final energy (eV/atom)
1,157.8,-3.09,-8.849
2,273.9,-2.57,-7.380
3,281.7,-3.26,-8.741